PBE-GGA NbNiSnPd, optimized geometry; E_tot = -25.3 eV per formula unit; crystal system = cubic
1.0
0.0000 3.1959 3.1959
3.1959 0.0000 3.1959
3.1959 3.1959 0.0000
Sn Ni Nb Pd
1 1 1 1
direct
0.0000 0.0000 0.0000 Sn
0.7500 0.7500 0.7500 Ni
0.2500 0.2500 0.2500 Nb
0.5000 0.5000 0.5000 Pd


PBE-GGA HoBIr, optimized geometry; E_tot = -20.5 eV per formula unit; crystal system = cubic
1.0
0.0000 2.9027 2.9027
2.9027 0.0000 2.9027
2.9027 2.9027 0.0000
B Ir Ho
1 1 1
direct
0.0000 0.0000 0.0000 B
0.7500 0.7500 0.7500 Ir
0.2500 0.2500 0.2500 Ho


PBE-GGA Zr4CdPC2, optimized geometry; E_tot = -65.2 eV per formula unit; crystal system = hexagonal
1.0
3.4023 0.0000 0.0000
-1.7011 2.9464 0.0000
0.0000 0.0000 13.7510
Zr C P Cd
4 2 1 1
direct
0.6667 0.3333 0.1836 Zr
0.6667 0.3333 0.8164 Zr
0.0000 0.0000 0.3682 Zr
0.0000 0.0000 0.6318 Zr
0.3333 0.6667 0.7280 C
0.3333 0.6667 0.2720 C
0.6667 0.3333 0.5000 P
0.0000 0.0000 0.0000 Cd